[1]
Material: CoIrOs2
Method: DFT, PBE
State: optimized geometry

a = 5.304 Å, b = 5.304 Å, c = 11.049 Å
α = 90.00°, β = 90.00°, γ = 90.00°
Space group I-42d (No. 122)
Inequivalent atoms, fractional coordinates:
Co 0.000 0.000 0.000 x4
Ir 0.000 0.000 0.500 x4
Os 0.227 0.250 0.125 x8

Results
The value obtained for the magnetic moment is 0.00 μB/atom. As for the energy of formation from the pure elements: 1.216 eV per atom. For the calculated volume, the calculation gives 310.85 Å³/cell. The offset from the most stable computed form comes out at 1124 meV/atom.

[2]
Material: KHfIn
Method: DFT, PBE
State: optimized geometry

a = 7.391 Å, b = 7.391 Å, c = 7.391 Å
α = 90.00°, β = 90.00°, γ = 90.00°
Space group F-43m (No. 216)
Inequivalent atoms, fractional coordinates:
K 0.000 0.000 0.000 x4
Hf 0.000 0.000 0.500 x4
In 0.250 0.250 0.250 x4

Results
The value obtained for the magnetic moment is 0.00 μB/atom. As for the energy of formation from the pure elements: 0.954 eV per atom. For the calculated volume, the calculation gives 403.71 Å³/cell. The offset from the most stable computed form comes out at 944 meV/atom.

[3]
Material: GeAs2Cl
Method: DFT, PBE
State: optimized geometry

a = 6.731 Å, b = 6.731 Å, c = 6.731 Å
α = 90.00°, β = 90.00°, γ = 90.00°
Space group Fm-3m (No. 225)
Inequivalent atoms, fractional coordinates:
Ge 0.000 0.000 0.000 x4
As 0.250 0.250 0.250 x8
Cl 0.000 0.000 0.500 x4

Results
The value obtained for the magnetic moment is 0.00 μB/atom. The raw formation energy is 369 meV/atom. For the calculated volume, the calculation gives 304.98 Å³/cell. The offset from the most stable computed form comes out at 471 meV/atom.

[4]
Material: Os3Pt
Method: DFT, PBE
State: optimized geometry

a = 4.774 Å, b = 8.909 Å, c = 5.488 Å
α = 90.00°, β = 90.00°, γ = 90.00°
Space group Pnma (No. 62)
Inequivalent atoms, fractional coordinates:
Os 0.081 0.250 0.131 x4
Os 0.244 0.503 0.877 x8
Pt 0.089 0.250 0.625 x4

Results
The value obtained for the magnetic moment is 0.00 μB/atom. As for the energy of formation from the pure elements: 0.137 eV per atom. For the calculated volume, the calculation gives 233.39 Å³/cell.